1.
{
  "formula": "Sr2ZnCdS2O2",
  "functional": "PBE-GGA",
  "state": "relaxed",
  "cell": [[-1.009, -3.412, -1.759], [3.400, 0.256, 2.032], [-5.734, -3.475, 10.028]],
  "species": ["S", "S", "Cd", "Sr", "Sr", "Zn", "O", "O"],
  "fractional_positions": [[0.667, 0.333, 0.571], [0.333, 0.667, 0.097], [0.000, 0.000, 0.002], [0.667, 0.333, 0.280], [0.333, 0.667, 0.758], [0.000, 0.000, 0.501], [0.000, 0.000, 0.343], [0.000, 0.000, 0.824]],
  "total_energy_ev_per_atom": -4.725
}



2.
{
  "formula": "AcPdNO",
  "functional": "PBE-GGA",
  "state": "relaxed",
  "cell": [[-5.640, 1.223, 0.499], [-1.321, -5.127, -2.372], [-0.085, -3.475, 7.558]],
  "species": ["Ac", "Ac", "Ac", "Ac", "O", "O", "O", "O", "N", "N", "N", "N", "Pd", "Pd", "Pd", "Pd"],
  "fractional_positions": [[0.874, 0.980, 0.659], [0.874, 0.480, 0.341], [0.374, 0.020, 0.341], [0.374, 0.520, 0.659], [0.620, 0.749, 0.487], [0.620, 0.249, 0.513], [0.120, 0.251, 0.513], [0.120, 0.751, 0.487], [0.200, 0.852, 0.876], [0.200, 0.352, 0.124], [0.700, 0.648, 0.876], [0.700, 0.148, 0.124], [0.009, 0.067, 0.030], [0.509, 0.933, 0.970], [0.509, 0.433, 0.030], [0.009, 0.567, 0.970]],
  "e_above_lowest_polymorph_mev_per_atom": 0
}



3.
{
  "formula": "NaPaPO",
  "functional": "PBE-GGA",
  "state": "relaxed",
  "cell": [[3.938, 0.000, 0.000], [0.000, 3.938, 0.000], [0.000, 0.000, 9.546]],
  "species": ["P", "P", "Pa", "Pa", "O", "O", "Na", "Na"],
  "fractional_positions": [[0.500, 0.000, 0.285], [0.000, 0.500, 0.715], [0.000, 0.500, 0.142], [0.500, 0.000, 0.858], [0.000, 0.000, 0.000], [0.500, 0.500, 0.000], [0.000, 0.000, 0.500], [0.500, 0.500, 0.500]],
  "e_above_lowest_polymorph_mev_per_atom": 0
}



Which formula does entry 3 have?
NaPaPO



Copy entry 1 word for word.
{
  "formula": "Sr2ZnCdS2O2",
  "functional": "PBE-GGA",
  "state": "relaxed",
  "cell": [[-1.009, -3.412, -1.759], [3.400, 0.256, 2.032], [-5.734, -3.475, 10.028]],
  "species": ["S", "S", "Cd", "Sr", "Sr", "Zn", "O", "O"],
  "fractional_positions": [[0.667, 0.333, 0.571], [0.333, 0.667, 0.097], [0.000, 0.000, 0.002], [0.667, 0.333, 0.280], [0.333, 0.667, 0.758], [0.000, 0.000, 0.501], [0.000, 0.000, 0.343], [0.000, 0.000, 0.824]],
  "total_energy_ev_per_atom": -4.725
}